# SrYCr2O8 PBE with a Hubbard U optimized geometry
# Electronic total energy in eV per atom: -7.351
# M_tot in μB/atom: 0.08
data_SrYCr2O8
_chemical_formula_sum 'Sr2 Y2 Cr4 O16'
_cell_length_a 7.3781
_cell_length_b 7.3781
_cell_length_c 6.4234
_cell_angle_alpha 90.00
_cell_angle_beta 90.00
_cell_angle_gamma 90.00
_symmetry_space_group_name_H-M 'I -4 m 2'
_symmetry_Int_Tables_number 119
_symmetry_space_group_name_Hall 'I -4 -2'
loop_
_atom_site_label
_atom_site_type_symbol
_atom_site_fract_x
_atom_site_fract_y
_atom_site_fract_z
Sr1 Sr 0.0000 0.0000 0.0000
Y1 Y 0.0000 0.5000 0.7500
Cr1 Cr 0.0000 0.0000 0.5000
Cr2 Cr 0.0000 0.5000 0.2500
O1 O 0.0000 0.1909 0.6583
O2 O 0.0000 0.3264 0.0856